Material: SrScIrRu2
Method: DFT, PBE
State: optimized geometry

Results
SG: P4/mmm, No. 123
Calculated formation energy: 1528 meV/atom

Cell: 4.5651 5.2170 4.5651 Å, 90.00 90.00 90.00°
Atoms (fractional coordinates):
Sc: 0.0000 0.0000 0.0000
Ru: 0.0000 0.0000 0.5000
Ru: 0.5000 0.0000 0.0000
Ir: 0.5000 0.5000 0.5000
Sr: 0.0000 0.5000 0.0000

---

Material: Cs2LaCdBr6
Method: DFT, PBE
State: optimized geometry

Results
SG: Pmmn, No. 59
Formation energy from raw total energies: -1570 meV per atom

Cell: 8.4489 8.4463 11.9359 Å, 90.00 90.00 90.00°
Atoms (fractional coordinates):
Cs: 0.5000 0.7508 0.2501
Cs: 0.0000 0.2492 0.7501
Cs: 0.5000 0.7508 0.7499
Cs: 0.0000 0.2492 0.2499
La: 0.0000 0.7492 0.5000
La: 0.5000 0.2508 0.0000
Cd: 0.5000 0.2493 0.5000
Cd: 0.0000 0.7507 0.0000
Br: 0.5000 0.2491 0.2459
Br: 0.5000 0.2491 0.7541
Br: 0.0000 0.7509 0.2541
Br: 0.0000 0.7509 0.7459
Br: 0.2465 0.9940 0.5000
Br: 0.7535 0.9940 0.5000
Br: 0.2449 0.5027 0.5000
Br: 0.7551 0.5027 0.5000
Br: 0.7449 0.4973 0.0000
Br: 0.2551 0.4973 0.0000
Br: 0.2535 0.0060 0.0000
Br: 0.7465 0.0060 0.0000

---

Material: TbCu2Ag
Method: DFT, PBE
State: optimized geometry

Results
SG: P4/mmm, No. 123
Relative energy among the computed polymorphs: 56 meV per atom
Calculated formation energy: -86 meV/atom

Cell: 3.3937 3.3937 6.2580 Å, 90.00 90.00 90.00°
Atoms (fractional coordinates):
Tb: 0.5000 0.5000 0.5000
Cu: 0.0000 0.0000 0.7882
Cu: 0.0000 0.0000 0.2118
Ag: 0.5000 0.5000 0.0000

---

Material: LaAlO3
Method: DFT, PBE
State: optimized geometry

Results
SG: Cm, No. 8
Formation energy from raw total energies: -3127 meV per atom

Cell: 3.7910 6.0964 6.6114 Å, 114.42 90.01 108.12°
Atoms (fractional coordinates):
La: 0.0394 0.7813 0.3895
La: 0.8489 0.4004 0.7289
Al: 0.6316 0.9658 0.1033
Al: 0.2988 0.3004 0.0718
O: 0.2227 0.1481 0.7407
O: 0.4564 0.6154 0.0189
O: 0.1296 0.9620 0.0565
O: 0.7845 0.2718 0.0671
O: 0.4097 0.5221 0.4052
O: 0.6747 0.0521 0.3958

---

Material: AcPaNiN3
Method: DFT, PBE
State: optimized geometry

Results
SG: P2_1/m, No. 11
Formation energy from raw total energies: -1044 meV per atom

Cell: 3.5664 7.4797 7.4027 Å, 103.80 90.00 90.00°
Atoms (fractional coordinates):
Ac: 0.2500 0.1892 0.2316
Ac: 0.7500 0.8108 0.7684
Pa: 0.2500 0.6701 0.1747
Pa: 0.7500 0.3299 0.8253
Ni: 0.2500 0.0841 0.5855
Ni: 0.7500 0.9159 0.4145
N: 0.7500 0.8591 0.1314
N: 0.2500 0.1409 0.8686
N: 0.2500 0.8108 0.4919
N: 0.7500 0.1892 0.5081
N: 0.7500 0.4503 0.1434
N: 0.2500 0.5497 0.8566

---

Material: Y2GaSe2
Method: DFT, PBE
State: optimized geometry

Results
SG: P4/mbm, No. 127
Formation energy from raw total energies: -1141 meV per atom
Relative energy among the computed polymorphs: 0 meV per atom

Cell: 7.9526 7.9526 3.7983 Å, 90.00 90.00 90.00°
Atoms (fractional coordinates):
Y: 0.3374 0.8374 0.0000
Y: 0.8374 0.6626 0.0000
Y: 0.6626 0.1626 0.0000
Y: 0.1626 0.3374 0.0000
Ga: 0.0000 0.0000 0.0000
Ga: 0.5000 0.5000 0.0000
Se: 0.1420 0.6420 0.5000
Se: 0.6420 0.8580 0.5000
Se: 0.8580 0.3580 0.5000
Se: 0.3580 0.1420 0.5000

---

Material: AlCdCu2Sn
Method: DFT, PBE
State: optimized geometry

Results
SG: P4/mmm, No. 123
Calculated formation energy: 727 meV/atom

Cell: 4.8562 4.9136 4.8562 Å, 90.00 90.00 90.00°
Atoms (fractional coordinates):
Al: 0.0000 0.5000 0.0000
Sn: 0.5000 0.5000 0.5000
Cu: 0.0000 0.0000 0.5000
Cu: 0.5000 0.0000 0.0000
Cd: 0.0000 0.0000 0.0000

---

Material: Er12Sc7Al
Method: DFT, PBE
State: optimized geometry

Results
SG: R-3, No. 148
Calculated formation energy: 64 meV/atom

Cell: 8.4677 8.4677 8.4677 Å, 102.37 102.37 102.37°
Atoms (fractional coordinates):
Er: 0.7634 0.2380 0.5056
Er: 0.7620 0.4944 0.2366
Er: 0.3454 0.0800 0.3229
Er: 0.9200 0.6771 0.6546
Er: 0.4944 0.2366 0.7620
Er: 0.6771 0.6546 0.9200
Er: 0.3229 0.3454 0.0800
Er: 0.5056 0.7634 0.2380
Er: 0.0800 0.3229 0.3454
Er: 0.6546 0.9200 0.6771
Er: 0.2380 0.5056 0.7634
Er: 0.2366 0.7620 0.4944
Sc: 0.0909 0.6880 0.0854
Sc: 0.3120 0.9146 0.9091
Sc: 0.9146 0.9091 0.3120
Sc: 0.5000 0.5000 0.5000
Sc: 0.0854 0.0909 0.6880
Sc: 0.6880 0.0854 0.0909
Sc: 0.9091 0.3120 0.9146
Al: 0.0000 0.0000 0.0000

---

Material: HfAgTeO6
Method: DFT, PBE
State: optimized geometry

Results
SG: P-31c, No. 163
Formation energy from raw total energies: -1509 meV per atom

Cell: 5.4288 5.4288 9.5542 Å, 90.00 90.00 120.00°
Atoms (fractional coordinates):
Hf: 0.6667 0.3333 0.2500
Hf: 0.3333 0.6667 0.7500
Ag: 0.0000 0.0000 0.0000
Ag: 0.0000 0.0000 0.5000
Te: 0.3333 0.6667 0.2500
Te: 0.6667 0.3333 0.7500
O: 0.6227 0.6416 0.1387
O: 0.0188 0.3773 0.1387
O: 0.3773 0.0188 0.6387
O: 0.9812 0.6227 0.8613
O: 0.3584 0.3773 0.3613
O: 0.0188 0.6416 0.3613
O: 0.6416 0.0188 0.8613
O: 0.6227 0.9812 0.3613
O: 0.9812 0.3584 0.6387
O: 0.3584 0.9812 0.1387
O: 0.6416 0.6227 0.6387
O: 0.3773 0.3584 0.8613

---

Material: SrMgIn4Pd2
Method: DFT, PBE
State: optimized geometry

Results
SG: R-3m, No. 166
Calculated formation energy: -415 meV/atom

Cell: 4.6787 4.6787 10.6292 Å, 77.29 77.29 60.00°
Atoms (fractional coordinates):
Sr: 0.0000 0.0000 0.0000
Mg: 0.5000 0.5000 0.5000
In: 0.4013 0.4013 0.7960
In: 0.8781 0.8781 0.3657
In: 0.1219 0.1219 0.6343
In: 0.5987 0.5987 0.2040
Pd: 0.7836 0.7836 0.6493
Pd: 0.2164 0.2164 0.3507

---

Material: IrC3
Method: DFT, PBE
State: optimized geometry

Results
SG: P1, No. 1
Relative energy among the computed polymorphs: 19 meV per atom
Calculated formation energy: 736 meV/atom

Cell: 2.5874 2.9165 5.6048 Å, 100.52 90.04 115.76°
Atoms (fractional coordinates):
C: 0.6963 0.4656 0.4009
C: 0.1771 0.4254 0.2766
C: 0.7382 0.5501 0.6635
Ir: 0.1127 0.2961 0.8949

---

Material: Ac6Dy
Method: DFT, PBE
State: optimized geometry

Results
SG: P4/nbm, No. 125
Calculated formation energy: 331 meV/atom

Cell: 7.1413 7.1413 12.4727 Å, 90.00 90.00 90.00°
Atoms (fractional coordinates):
Ac: 0.5000 0.5000 0.1380
Ac: 0.0000 0.0000 0.1380
Ac: 0.0000 0.0000 0.8620
Ac: 0.5000 0.5000 0.8620
Ac: 0.8280 0.6720 0.3627
Ac: 0.3280 0.8280 0.3627
Ac: 0.6720 0.1720 0.3627
Ac: 0.1720 0.3280 0.3627
Ac: 0.6720 0.8280 0.6373
Ac: 0.1720 0.6720 0.6373
Ac: 0.8280 0.3280 0.6373
Ac: 0.3280 0.1720 0.6373
Dy: 0.5000 0.0000 0.0000
Dy: 0.0000 0.5000 0.0000